No. 1
Computed, not measured: an optimized crystal structure of Pr2H7Pd2 at the PBE level of DFT.

The structure in CIF format:
```
data_Pr2H7Pd2
_chemical_formula_sum 'Pr4 H14 Pd4'
_cell_length_a 3.7618
_cell_length_b 8.0631
_cell_length_c 8.1286
_cell_angle_alpha 90.00
_cell_angle_beta 90.00
_cell_angle_gamma 90.00
_symmetry_space_group_name_H-M 'I m m m'
_symmetry_Int_Tables_number 71
_symmetry_space_group_name_Hall '-I 2 2'
loop_
_atom_site_label
_atom_site_type_symbol
_atom_site_fract_x
_atom_site_fract_y
_atom_site_fract_z
Pr1 Pr 0.0000 0.0000 0.2278
H1 H 0.0000 0.1686 0.5000
H2 H 0.0000 0.3225 0.2089
H3 H 0.0000 0.5000 0.5000
Pd1 Pd 0.0000 0.3234 0.0000
```

Output
Calculated volume   123 Å³/f.u.
Fermi-level density of states   0.3116 states/eV per atom
Electronic total energy   -95.777 eV for the cell shown



No. 2
Computed, not measured: an optimized crystal structure of Pr4HPd2 at the PBE level of DFT.

The structure in CIF format:
```
data_Pr4HPd2
_chemical_formula_sum 'Pr8 H2 Pd4'
_cell_length_a 4.7707
_cell_length_b 4.7707
_cell_length_c 15.5178
_cell_angle_alpha 90.00
_cell_angle_beta 90.00
_cell_angle_gamma 90.00
_symmetry_space_group_name_H-M 'I 4/m m m'
_symmetry_Int_Tables_number 139
_symmetry_space_group_name_Hall '-I 4 2'
loop_
_atom_site_label
_atom_site_type_symbol
_atom_site_fract_x
_atom_site_fract_y
_atom_site_fract_z
Pr1 Pr 0.0000 0.0000 0.1874
Pr2 Pr 0.0000 0.5000 0.0000
H1 H 0.0000 0.0000 0.0000
Pd1 Pd 0.0000 0.0000 0.3666
```

Output
Calculated volume   177 Å³/f.u.
Fermi-level density of states   1.1277 states/eV per atom
Electronic total energy   -71.959 eV for the cell shown